{"formula": "CdCoO2", "functional": "PBE+U", "state": "relaxed", "cell": [[4.908, 0.000, 0.000], [0.000, 4.908, 0.000], [0.000, 0.000, 9.611]], "species": ["Cd", "Cd", "Cd", "Cd", "Co", "Co", "Co", "Co", "O", "O", "O", "O", "O", "O", "O", "O"], "fractional_positions": [[0.000, 0.000, 0.000], [0.000, 0.500, 0.250], [0.500, 0.000, 0.750], [0.500, 0.500, 0.500], [0.000, 0.000, 0.500], [0.000, 0.500, 0.750], [0.500, 0.000, 0.250], [0.500, 0.500, 0.000], [0.209, 0.250, 0.625], [0.250, 0.709, 0.875], [0.250, 0.791, 0.375], [0.291, 0.250, 0.125], [0.709, 0.750, 0.125], [0.750, 0.209, 0.375], [0.750, 0.291, 0.875], [0.791, 0.750, 0.625]], "total_energy_ev_per_atom": -4.98, "volume_a3_per_cell": 231.5, "total_magnetization_mub_per_cell": 12.00, "spacegroup": "No. 122"}